PmAl3Au4 | PBE | optimized geometry

The structure in POSCAR format:
```
PmAl3Au4
1.0
4.394 0.000 0.000
0.000 4.394 0.000
0.000 0.000 8.236
Au Al Pm
4 3 1
Direct
0.000 0.500 0.182
0.000 0.500 0.818
0.500 0.000 0.818
0.500 0.000 0.182
0.000 0.000 0.000
0.500 0.500 0.345
0.500 0.500 0.655
0.000 0.000 0.500
```

Calculated values
Formation energy from the elements = -537 meV/atom
Electronic total energy = -4.1733 eV per atom
V = 159.1 Å³/f.u.
DOS(E_F) = 4.6 states/eV per cell

***

Pm3Al3Au2 | PBE | optimized geometry

The structure in POSCAR format:
```
Pm3Al3Au2
1.0
-4.069 -1.848 -0.884
3.195 -3.210 3.742
-6.005 7.637 11.681
Pm Al Au
6 6 4
Direct
0.908 0.816 0.389
0.092 0.184 0.889
0.908 0.816 0.111
0.092 0.184 0.611
0.628 0.256 0.250
0.372 0.744 0.750
0.617 0.234 0.465
0.383 0.766 0.965
0.617 0.234 0.035
0.383 0.766 0.535
0.336 0.672 0.250
0.664 0.328 0.750
0.800 0.599 0.898
0.200 0.401 0.398
0.800 0.599 0.602
0.200 0.401 0.102
```

Calculated values
Formation energy from the elements = -656 meV/atom
Electronic total energy = -4.6600 eV per atom
V = 187.4 Å³/f.u.
DOS(E_F) = 12.1 states/eV per cell

***

Pm3Al4Au4 | PBE | optimized geometry

The structure in POSCAR format:
```
Pm3Al4Au4
1.0
-0.699 4.146 -1.659
-1.334 -1.637 -3.530
-11.207 -1.435 7.297
Pm Al Au
3 4 4
Direct
0.352 0.852 0.703
0.648 0.148 0.297
0.000 0.000 0.000
0.806 0.306 0.612
0.450 0.450 0.900
0.550 0.550 0.100
0.194 0.694 0.388
0.254 0.254 0.508
0.097 0.597 0.194
0.903 0.403 0.806
0.746 0.746 0.492
```

Calculated values
Formation energy from the elements = -683 meV/atom
Electronic total energy = -4.5315 eV per atom
V = 243.5 Å³/f.u.
DOS(E_F) = 8.5 states/eV per cell

***

Pm3Al4Au7 | PBE | optimized geometry

The structure in POSCAR format:
```
Pm3Al4Au7
1.0
-0.853 -4.337 -0.313
7.413 -3.853 1.835
0.271 -2.900 8.081
Pm Al Au
3 4 7
Direct
0.318 0.188 0.176
0.682 0.812 0.824
0.000 0.500 0.500
0.674 0.463 0.189
0.326 0.537 0.811
0.872 0.907 0.348
0.128 0.093 0.652
0.316 0.817 0.551
0.501 0.228 0.770
0.860 0.377 0.903
0.684 0.183 0.449
0.140 0.623 0.097
0.000 0.000 0.000
0.499 0.772 0.230
```

Calculated values
Formation energy from the elements = -685 meV/atom
Electronic total energy = -4.4107 eV per atom
V = 286.1 Å³/f.u.
DOS(E_F) = 8.4 states/eV per cell

***

Pm3Al4Au4 | PBE | optimized geometry

The structure in POSCAR format:
```
Pm3Al4Au4
1.0
-3.740 4.740 -3.197
-3.233 -2.007 5.674
6.082 2.633 1.656
Pm Al Au
3 4 4
Direct
0.500 0.500 0.000
0.500 0.000 0.500
0.000 0.500 0.500
0.000 0.267 0.000
0.000 0.000 0.267
0.267 0.000 0.000
0.733 0.733 0.733
0.000 0.625 0.000
0.625 0.000 0.000
0.000 0.000 0.625
0.375 0.375 0.375
```

Calculated values
Formation energy from the elements = -658 meV/atom
Electronic total energy = -4.5063 eV per atom
V = 245.5 Å³/f.u.
DOS(E_F) = 5.9 states/eV per cell

***

PmAl2Au6 | PBE | optimized geometry

The structure in POSCAR format:
```
PmAl2Au6
1.0
-5.830 -5.519 -2.302
1.327 -4.978 -6.573
1.300 -8.170 1.145
Pm Al Au
2 4 12
Direct
0.500 0.500 0.500
0.750 0.750 0.750
0.125 0.125 0.125
0.125 0.625 0.125
0.125 0.125 0.625
0.625 0.125 0.125
0.247 0.247 0.753
0.753 0.753 0.247
0.247 0.753 0.247
0.247 0.753 0.753
0.497 0.497 0.003
0.497 0.003 0.003
0.753 0.247 0.753
0.003 0.003 0.497
0.497 0.003 0.497
0.003 0.497 0.497
0.753 0.247 0.247
0.003 0.497 0.003
```

Calculated values
Formation energy from the elements = -205 meV/atom
Electronic total energy = -3.7490 eV per atom
V = 205.9 Å³/f.u.
DOS(E_F) = 11.2 states/eV per cell

***

PmAlAu5 | PBE | optimized geometry

The structure in POSCAR format:
```
PmAlAu5
1.0
4.420 0.000 0.000
0.000 4.420 0.000
0.000 0.000 7.381
Pm Al Au
1 1 5
Direct
0.000 0.000 0.000
0.000 0.000 0.500
0.500 0.000 0.700
0.000 0.500 0.700
0.500 0.500 0.000
0.000 0.500 0.300
0.500 0.000 0.300
```

Calculated values
Formation energy from the elements = -411 meV/atom
Electronic total energy = -3.9651 eV per atom
V = 144.2 Å³/f.u.
DOS(E_F) = 3.6 states/eV per cell

***

PmPr2Al4Au3 | PBE | optimized geometry

The structure in POSCAR format:
```
PmPr2Al4Au3
1.0
4.407 0.000 0.000
0.000 4.407 0.000
0.000 0.000 11.815
Pm Pr Al Au
1 2 4 3
Direct
0.500 0.500 0.500
0.500 0.000 0.228
0.000 0.500 0.772
0.500 0.500 0.000
0.000 0.000 0.000
0.500 0.000 0.672
0.000 0.500 0.328
0.000 0.000 0.500
0.500 0.000 0.883
0.000 0.500 0.117
```

Calculated values
Formation energy from the elements = -591 meV/atom
Electronic total energy = -4.5022 eV per atom
V = 229.4 Å³/f.u.
DOS(E_F) = 5.8 states/eV per cell

***

PmAl4PtAu2 | PBE | optimized geometry

The structure in POSCAR format:
```
PmAl4PtAu2
1.0
4.328 0.000 0.000
2.164 3.748 0.000
2.164 1.249 9.662
Pm Al Pt Au
1 4 1 2
Direct
0.000 0.000 0.000
0.413 0.413 0.762
0.864 0.864 0.408
0.136 0.136 0.592
0.587 0.587 0.238
0.500 0.500 0.500
0.732 0.732 0.805
0.268 0.268 0.195
```

Calculated values
Formation energy from the elements = -661 meV/atom
Electronic total energy = -4.7009 eV per atom
V = 156.7 Å³/f.u.
DOS(E_F) = 2.1 states/eV per cell

***

PmAl2PtAu2 | PBE | optimized geometry

The structure in POSCAR format:
```
PmAl2PtAu2
1.0
4.747 0.000 0.000
0.000 4.747 0.000
0.000 0.000 5.746
Pm Al Pt Au
1 2 1 2
Direct
0.000 0.000 0.500
0.500 0.000 0.000
0.000 0.500 0.000
0.000 0.000 0.000
0.500 0.500 0.736
0.500 0.500 0.264
```

Calculated values
Formation energy from the elements = -580 meV/atom
Electronic total energy = -4.7183 eV per atom
V = 129.5 Å³/f.u.
DOS(E_F) = 3.0 states/eV per cell

***

PmAl4Pt2Au | PBE | optimized geometry

The structure in POSCAR format:
```
PmAl4Pt2Au
1.0
4.292 0.000 0.000
2.146 3.717 0.000
2.146 1.239 9.185
Pm Al Pt Au
1 4 2 1
Direct
0.000 0.000 0.000
0.403 0.403 0.791
0.875 0.875 0.376
0.125 0.125 0.624
0.597 0.597 0.209
0.752 0.752 0.745
0.248 0.248 0.255
0.500 0.500 0.500
```

Calculated values
Formation energy from the elements = -764 meV/atom
Electronic total energy = -5.1494 eV per atom
V = 146.5 Å³/f.u.
DOS(E_F) = 3.3 states/eV per cell

***

Pm2Al4PtAu3 | PBE | optimized geometry

The structure in POSCAR format:
```
Pm2Al4PtAu3
1.0
-3.370 -2.331 -1.539
2.367 -3.663 0.364
-3.545 -1.321 9.762
Pm Al Pt Au
2 4 1 3
Direct
0.500 0.000 0.253
0.000 0.500 0.747
0.500 0.500 0.000
0.000 0.000 0.000
0.500 0.000 0.625
0.000 0.500 0.375
0.500 0.500 0.500
0.000 0.000 0.500
0.500 0.000 0.865
0.000 0.500 0.135
```

Calculated values
Formation energy from the elements = -822 meV/atom
Electronic total energy = -4.8561 eV per atom
V = 200.6 Å³/f.u.
DOS(E_F) = 6.7 states/eV per cell

***

- What is the formula in the twelfth record?
  Pm2Al4PtAu3